{"formula": "Li5CoNi9O20", "functional": "PBE with a Hubbard U", "state": "optimized geometry", "lattice_angstrom": [[-1.316, 2.465, 0.612], [-4.922, -1.743, -10.185], [-5.378, -4.976, 9.120]], "species": ["O", "O", "O", "O", "O", "O", "O", "O", "O", "O", "O", "O", "O", "O", "O", "O", "O", "O", "O", "O", "Li", "Li", "Li", "Li", "Li", "Ni", "Ni", "Ni", "Ni", "Ni", "Ni", "Ni", "Ni", "Ni", "Co"], "fractional_positions": [[0.560, 0.018, 0.624], [0.891, 0.808, 0.409], [0.456, 0.981, 0.375], [0.944, 0.792, 0.691], [0.070, 0.190, 0.090], [0.547, 0.983, 0.875], [0.125, 0.211, 0.810], [0.260, 0.580, 0.475], [0.657, 0.387, 0.287], [0.233, 0.583, 0.975], [0.713, 0.384, 0.774], [0.892, 0.788, 0.190], [0.464, 0.021, 0.125], [0.327, 0.617, 0.226], [0.705, 0.414, 0.523], [0.944, 0.812, 0.910], [0.128, 0.189, 0.589], [0.073, 0.211, 0.309], [0.370, 0.617, 0.725], [0.661, 0.416, 0.014], [0.982, 0.001, 0.251], [0.794, 0.593, 0.345], [0.200, 0.385, 0.635], [0.036, 0.999, 0.750], [0.776, 0.620, 0.871], [0.816, 0.602, 0.601], [0.781, 0.600, 0.101], [0.572, 0.203, 0.199], [0.445, 0.801, 0.800], [0.392, 0.798, 0.300], [0.007, 0.002, 0.001], [0.008, 0.998, 0.499], [0.185, 0.399, 0.899], [0.177, 0.397, 0.401], [0.627, 0.199, 0.700]], "vol_a3_per_cell": 342.6, "total_energy_ry_per_atom": -0.3568, "spacegroup": "P1, No. 1", "m_tot_mub_per_atom": 0.17, "crystal_system": "triclinic"}